A relaxed Ho4N2O crystal, computed with PBE-GGA.

Lattice parameters (Å, degrees): 3.404 5.925 6.699 115.54 104.72 90.00
Each line ends with the local moment (μB).
Positions (direct):
O (0.000, 0.000, 0.000)  0.00
Ho (0.134, 0.810, 0.267)  0.17
Ho (0.866, 0.190, 0.733)  0.17
Ho (0.369, 0.707, 0.737)  0.12
Ho (0.631, 0.293, 0.263)  0.12
N (0.745, 0.741, 0.491)  -0.01
N (0.255, 0.259, 0.509)  -0.01

A relaxed Ho2NO crystal, computed with PBE-GGA.

Offset from the most stable computed form ... 0 meV/atom

Lattice parameters (Å, degrees): 3.406 3.406 5.947 73.36 73.36 60.00
Positions (direct):
Ho (0.754, 0.754, 0.739)
Ho (0.246, 0.246, 0.261)
N (0.500, 0.500, 0.500)
O (0.000, 0.000, 0.000)

A relaxed Ho2NO crystal, computed with PBE-GGA.

Offset from the most stable computed form ... 4 meV/atom

Lattice parameters (Å, degrees): 5.916 5.910 7.640 104.91 104.94 109.54
Positions (direct):
O (0.311, 0.561, 0.122)
O (0.436, 0.186, 0.373)
O (0.564, 0.814, 0.627)
O (0.689, 0.439, 0.878)
N (0.062, 0.312, 0.624)
N (0.813, 0.063, 0.126)
N (0.938, 0.688, 0.376)
N (0.187, 0.937, 0.874)
Ho (0.177, 0.436, 0.375)
Ho (0.302, 0.060, 0.625)
Ho (0.567, 0.308, 0.125)
Ho (0.698, 0.940, 0.375)
Ho (0.823, 0.564, 0.625)
Ho (0.942, 0.183, 0.875)
Ho (0.058, 0.817, 0.125)
Ho (0.433, 0.692, 0.875)

A relaxed HoScNO crystal, computed with PBE-GGA.

Lattice parameters (Å, degrees): 3.020 3.056 6.016 104.71 104.54 90.00
Positions (direct):
Ho (0.820, 0.320, 0.639)
N (0.660, 0.660, 0.320)
O (0.421, 0.921, 0.841)
Sc (0.079, 0.079, 0.158)

Taking the records one at a time from the top gives formation energy (no corrections) values of -169.0, -230.2, -229.9, -188.4 kJ/mol of atoms.